The following is a PBE calculation of a relaxed structure of BaUPdS3, from Alexandria.

a = 4.0528 Å, b = 8.4286 Å, c = 9.0491 Å
α = 106.66°, β = 90.00°, γ = 90.00°
Closest atoms and distances in Å follow each position.
Element x y z (fractional)
S1 0.7500 0.4495 0.1551  3 U 2.77-2.78
S2 0.2500 0.1175 0.8776  1 Pd 2.43
S3 0.7500 0.8825 0.1224  1 Pd 2.43
S4 0.2500 0.7664 0.4659  3 Pd 2.52-2.67, 1 U 2.63
S5 0.2500 0.5505 0.8449  3 U 2.77-2.78
S6 0.7500 0.2336 0.5341  3 Pd 2.52-2.67, 1 U 2.63
Ba1 0.7500 0.8022 0.7449  7 S 3.18-3.29, 1 Pd 3.51
Ba2 0.2500 0.1978 0.2551  7 S 3.18-3.29, 1 Pd 3.51
U1 0.2500 0.6783 0.1629  6 S 2.63-2.78
U2 0.7500 0.3217 0.8371  6 S 2.63-2.78
Pd1 0.2500 0.0921 0.6032  4 S 2.43-2.67
Pd2 0.7500 0.9079 0.3968  4 S 2.43-2.67

***

The following is a PBE calculation of a relaxed structure of BaPdW2S8, from Alexandria.

a = 6.1150 Å, b = 6.1150 Å, c = 9.6240 Å
α = 71.48°, β = 71.48°, γ = 60.00°
Closest atoms and distances in Å follow each position.
Element x y z (fractional)
S1 0.9340 0.6183 0.1627  1 W 2.21
S2 0.1700 0.1700 0.4899  1 W 2.21
S3 0.6183 0.2851 0.1627  1 W 2.21
S4 0.8300 0.8300 0.5101  1 W 2.21
S5 0.3817 0.7149 0.8373  1 W 2.21
S6 0.2851 0.9340 0.1627  1 W 2.21
S7 0.7149 0.0660 0.8373  1 W 2.21
S8 0.0660 0.3817 0.8373  1 W 2.21
W1 0.7477 0.7477 0.7568  4 S 2.21
W2 0.2523 0.2523 0.2432  4 S 2.21
Ba1 0.5000 0.5000 0.5000  12 S 3.53-3.61
Pd1 0.0000 0.0000 0.0000  6 S 2.51

***

The following is a PBE calculation of a relaxed structure of Ba2ZrPdS5, from Alexandria.

a = 3.9341 Å, b = 9.1915 Å, c = 12.8106 Å
α = 90.00°, β = 90.00°, γ = 102.36°
Closest atoms and distances in Å follow each position.
Element x y z (fractional)
Ba1 0.8756 0.7511 0.8247  7 S 3.10-3.36
Ba2 0.8771 0.7541 0.1876  7 S 3.11-3.35
Ba3 0.1229 0.2459 0.6876  7 S 3.11-3.35
Ba4 0.1244 0.2489 0.3247  7 S 3.10-3.36
S1 0.6999 0.3997 0.1520  2 Zr 2.63
S2 0.3077 0.6155 0.3759  1 Pd 2.51, 2 Zr 2.66
S3 0.3334 0.6667 0.0070  1 Zr 2.54
S4 0.6666 0.3333 0.5070  1 Zr 2.54
S5 0.0450 0.0901 0.0443  2 Pd 2.38
S6 0.6923 0.3845 0.8759  1 Pd 2.51, 2 Zr 2.66
S7 0.5041 0.0083 0.7744  1 Pd 2.38
S8 0.9550 0.9099 0.5443  2 Pd 2.38
S9 0.4959 0.9917 0.2744  1 Pd 2.38
S10 0.3001 0.6003 0.6520  2 Zr 2.63
Pd1 0.4390 0.8780 0.4425  4 S 2.38-2.51
Pd2 0.5610 0.1220 0.9425  4 S 2.38-2.51
Zr1 0.8080 0.6159 0.5156  6 S 2.54-2.67
Zr2 0.1920 0.3841 0.0156  6 S 2.54-2.67

***

The following is a PBE calculation of a relaxed structure of BaSb6Pd12, from Alexandria.

a = 7.5997 Å, b = 7.5997 Å, c = 7.5997 Å
α = 103.99°, β = 103.99°, γ = 103.99°
Closest atoms and distances in Å follow each position.
Element x y z (fractional)
Pd1 0.4173 0.4173 0.1353  3 Sb 2.68-2.81, 2 Pd 2.90
Pd2 0.1199 0.5000 0.8801  4 Sb 2.67-2.68, 3 Pd 2.87-2.90
Pd3 0.8647 0.5827 0.5827  3 Sb 2.68-2.81, 2 Pd 2.90
Pd4 0.8801 0.1199 0.5000  4 Sb 2.67-2.68, 3 Pd 2.87-2.90
Pd5 0.1199 0.8801 0.5000  4 Sb 2.67-2.68, 3 Pd 2.87-2.90
Pd6 0.4173 0.1353 0.4173  3 Sb 2.68-2.81, 2 Pd 2.90
Pd7 0.1353 0.4173 0.4173  3 Sb 2.68-2.81, 2 Pd 2.90
Pd8 0.8801 0.5000 0.1199  4 Sb 2.67-2.68, 3 Pd 2.87-2.90
Pd9 0.5000 0.1199 0.8801  4 Sb 2.67-2.68, 3 Pd 2.87-2.90
Pd10 0.5000 0.8801 0.1199  4 Sb 2.67-2.68, 3 Pd 2.87-2.90
Pd11 0.5827 0.8647 0.5827  3 Sb 2.68-2.81, 2 Pd 2.90
Pd12 0.5827 0.5827 0.8647  3 Sb 2.68-2.81, 2 Pd 2.90
Sb1 0.6817 0.2573 0.2573  7 Pd 2.67-2.81
Sb2 0.3183 0.7427 0.7427  7 Pd 2.67-2.81
Sb3 0.2573 0.2573 0.6817  7 Pd 2.67-2.81
Sb4 0.2573 0.6817 0.2573  7 Pd 2.67-2.81
Sb5 0.7427 0.3183 0.7427  7 Pd 2.67-2.81
Sb6 0.7427 0.7427 0.3183  7 Pd 2.67-2.81
Ba1 0.0000 0.0000 0.0000  18 Pd 3.63-4.06, 6 Sb 4.03

***

The following is a PBE calculation of a relaxed structure of Ba2Sb3Pd9, from Alexandria.

a = 8.2562 Å, b = 8.2562 Å, c = 10.9641 Å
α = 90.37°, β = 111.03°, γ = 121.00°
Closest atoms and distances in Å follow each position.
Element x y z (fractional)
Sb1 0.5000 0.0000 0.0000  8 Pd 2.72-2.85
Sb2 0.8412 0.1731 0.5013  8 Pd 2.71-2.87
Sb3 0.1718 0.3399 0.9987  8 Pd 2.71-2.87
Sb4 0.5000 0.5000 0.5000  8 Pd 2.72-2.85
Sb5 0.8282 0.6601 0.0013  8 Pd 2.71-2.87
Sb6 0.1588 0.8269 0.4987  8 Pd 2.71-2.87
Pd1 0.5336 0.0813 0.2518  2 Sb 2.72-2.74, 7 Pd 2.85-3.02
Pd2 0.4999 0.8317 0.4993  3 Sb 2.74-2.79, 6 Pd 2.78-3.02
Pd3 0.6705 0.7183 0.7518  2 Sb 2.72-2.74, 7 Pd 2.85-3.02
Pd4 0.1675 0.9993 0.9993  3 Sb 2.74-2.79, 6 Pd 2.78-3.02
Pd5 0.7924 0.3147 0.9393  3 Sb 2.76-2.85, 5 Pd 2.83-3.05
Pd6 0.8325 0.0007 0.0007  3 Sb 2.74-2.79, 6 Pd 2.78-3.02
Pd7 0.5001 0.1683 0.5007  3 Sb 2.74-2.79, 6 Pd 2.78-3.02
Pd8 0.8754 0.8531 0.5607  3 Sb 2.76-2.85, 5 Pd 2.83-3.05
Pd9 0.2076 0.6853 0.0607  3 Sb 2.76-2.85, 5 Pd 2.83-3.05
Pd10 0.7860 0.4786 0.4239  3 Sb 2.73-2.87, 4 Pd 2.84-3.03
Pd11 0.3295 0.2817 0.2482  2 Sb 2.72-2.74, 7 Pd 2.85-3.02
Pd12 0.1246 0.1469 0.4393  3 Sb 2.76-2.85, 5 Pd 2.83-3.05
Pd13 0.4664 0.9187 0.7482  2 Sb 2.72-2.74, 7 Pd 2.85-3.02
Pd14 0.1304 0.8804 0.2500  2 Sb 2.71, 4 Pd 2.85-2.99
Pd15 0.2140 0.5214 0.5761  3 Sb 2.73-2.87, 4 Pd 2.84-3.03
Pd16 0.8696 0.1196 0.7500  2 Sb 2.71, 4 Pd 2.85-2.99
Pd17 0.4454 0.6379 0.9239  3 Sb 2.73-2.87, 4 Pd 2.84-3.03
Pd18 0.5546 0.3621 0.0761  3 Sb 2.73-2.87, 4 Pd 2.84-3.03
Ba1 0.6663 0.7621 0.2468  9 Pd 3.12-3.48
Ba2 0.9848 0.5805 0.7468  9 Pd 3.12-3.48
Ba3 0.3337 0.2379 0.7532  9 Pd 3.12-3.48
Ba4 0.0152 0.4195 0.2532  9 Pd 3.12-3.48

***

The following is a PBE calculation of a relaxed structure of Ba2SbPd5, from Alexandria.

a = 6.8013 Å, b = 6.8013 Å, c = 6.8013 Å
α = 82.60°, β = 124.36°, γ = 124.36°
Closest atoms and distances in Å follow each position.
Element x y z (fractional)
Pd1 0.4310 0.6981 0.6981  1 Sb 2.60, 3 Pd 2.74-2.76
Pd2 0.0000 0.2671 0.6981  1 Sb 2.60, 3 Pd 2.74-2.76
Pd3 0.0000 0.2900 0.2900  1 Sb 2.63, 4 Pd 2.76
Pd4 0.5690 0.2671 0.2671  1 Sb 2.60, 3 Pd 2.74-2.76
Pd5 0.0000 0.6981 0.2671  1 Sb 2.60, 3 Pd 2.74-2.76
Ba1 0.5000 0.2345 0.7345  10 Pd 3.22-3.43
Ba2 0.5000 0.7345 0.2345  10 Pd 3.22-3.43
Sb1 0.0000 0.0327 0.0327  5 Pd 2.60-2.63

***

The following is a PBE calculation of a relaxed structure of BaSbPd4, from Alexandria.

Computed properties:
**Relative energy among the computed polymorphs**: 0.1428 eV per atom

a = 5.5883 Å, b = 5.5883 Å, c = 5.5883 Å
α = 60.00°, β = 60.00°, γ = 60.00°
Closest atoms and distances in Å follow each position.
Element x y z (fractional)
Pd1 0.6262 0.6262 0.6262  6 Pd 2.77-2.82
Pd2 0.6262 0.6262 0.1213  6 Pd 2.77-2.82
Pd3 0.1213 0.6262 0.6262  6 Pd 2.77-2.82
Pd4 0.6262 0.1213 0.6262  6 Pd 2.77-2.82
Ba1 0.2500 0.2500 0.2500  12 Pd 3.28, 4 Sb 3.42
Sb1 0.0000 0.0000 0.0000  12 Pd 3.27, 4 Ba 3.42

***

The following is a PBE calculation of a relaxed structure of BaSb3Pd3, from Alexandria.

Computed properties:
**Relative energy among the computed polymorphs**: 0.0236 eV per atom

a = 7.6381 Å, b = 7.6381 Å, c = 9.1079 Å
α = 65.21°, β = 65.21°, γ = 60.00°
Closest atoms and distances in Å follow each position.
Element x y z (fractional)
Sb1 0.0945 0.4082 0.7108  4 Pd 2.63-2.70
Sb2 0.5918 0.2134 0.2892  4 Pd 2.63-2.70
Sb3 0.9055 0.5918 0.2892  4 Pd 2.63-2.70
Sb4 0.2134 0.9055 0.2892  4 Pd 2.63-2.70
Sb5 0.7866 0.0945 0.7108  4 Pd 2.63-2.70
Sb6 0.4082 0.7866 0.7108  4 Pd 2.63-2.70
Pd1 0.2227 0.5252 0.3815  4 Sb 2.63-2.70
Pd2 0.1295 0.7773 0.6185  4 Sb 2.63-2.70
Pd3 0.4748 0.1295 0.6185  4 Sb 2.63-2.70
Pd4 0.7773 0.4748 0.6185  4 Sb 2.63-2.70
Pd5 0.5252 0.8705 0.3815  4 Sb 2.63-2.70
Pd6 0.8705 0.2227 0.3815  4 Sb 2.63-2.70
Ba1 0.3337 0.3337 0.9988  6 Sb 3.50, 3 Pd 3.91
Ba2 0.6663 0.6663 0.0012  6 Sb 3.50, 3 Pd 3.91

***

no.,magnetization (μB per formula unit),VASP energy (eV per atom),formation energy from raw total energies (eV per atom)
1,2.03,-6.5342,-1.40
2,0.00,-6.1315,-0.63
3,0.00,-5.6744,-1.43
4,0.00,-5.1054,-0.42
5,0.00,-5.0684,-0.57
6,0.00,-4.8085,-0.57
7,0.00,-4.7673,-0.30
8,0.00,-4.7513,-0.48